[1]
BiSeBr2Cl | GGA-PBE | optimized geometry

abc: 5.085 5.085 5.542
angles: 90.00 90.00 90.00
Positions (direct):
Bi: 0.000 0.000 0.000
Se: 0.500 0.500 0.000
Br: 0.000 0.500 0.500
Br: 0.500 0.000 0.500
Cl: 0.500 0.500 0.500

Summary:
The calculation puts the excess energy over the best structure of this formula in the dataset at 423 meV/atom. As for the symmetry: P4/mmm. The calculation puts the total energy at -2.03 eV/atom.

[2]
Rb3AcTm2Se6 | GGA-PBE | optimized geometry

abc: 7.506 7.506 8.406
angles: 98.60 98.60 120.01
Positions (direct):
Rb: 0.000 0.000 0.000
Rb: 0.337 0.663 0.000
Rb: 0.663 0.337 0.000
Ac: 0.500 0.500 0.500
Tm: 0.167 0.833 0.500
Tm: 0.833 0.167 0.500
Se: 0.079 0.434 0.303
Se: 0.210 0.210 0.697
Se: 0.434 0.079 0.303
Se: 0.566 0.921 0.697
Se: 0.790 0.790 0.303
Se: 0.921 0.566 0.697

Summary:
As for the symmetry: C2/m. The calculation puts the total energy at -4.81 eV/atom.

[3]
NpHgPO6 | GGA-PBE | optimized geometry

abc: 5.287 5.287 4.875
angles: 90.00 90.00 120.00
Positions (direct):
Np: 0.000 0.000 0.000
Hg: 0.667 0.333 0.500
P: 0.333 0.667 0.000
O: 0.069 0.389 0.203
O: 0.069 0.679 0.797
O: 0.321 0.389 0.797
O: 0.321 0.931 0.203
O: 0.611 0.679 0.203
O: 0.611 0.931 0.797

Summary:
As for the symmetry: P312. The calculation puts the total energy at -7.12 eV/atom.

[4]
La5Nd6Dy | GGA-PBE | optimized geometry

abc: 6.404 6.404 12.248
angles: 95.04 95.04 120.01
Positions (direct):
La: 0.000 0.000 0.000
La: 0.167 0.833 0.500
La: 0.334 0.666 0.000
La: 0.666 0.334 0.000
La: 0.833 0.167 0.500
Nd: 0.085 0.417 0.251
Nd: 0.250 0.250 0.748
Nd: 0.417 0.085 0.251
Nd: 0.583 0.915 0.749
Nd: 0.750 0.750 0.252
Nd: 0.915 0.583 0.749
Dy: 0.500 0.500 0.500

Summary:
As for the symmetry: C2/m. The calculation puts the total energy at -4.81 eV/atom.

[5]
ScTe2As | GGA-PBE | optimized geometry

abc: 9.416 9.416 9.416
angles: 24.18 24.18 24.18
Positions (direct):
Sc: 0.000 0.000 0.000
Te: 0.398 0.398 0.398
Te: 0.602 0.602 0.602
As: 0.500 0.500 0.500

Summary:
As for the symmetry: R-3m. The calculation puts the total energy at -4.71 eV/atom.

[6]
TbZn2Sn | GGA-PBE | optimized geometry

abc: 4.361 4.361 4.417
angles: 90.00 90.00 90.00
Positions (direct):
Tb: 0.000 0.000 0.000
Zn: 0.000 0.500 0.500
Zn: 0.500 0.000 0.500
Sn: 0.500 0.500 0.000

Summary:
The calculation puts the excess energy over the best structure of this formula in the dataset at 0 meV/atom. As for the symmetry: P4/mmm. The calculation puts the total energy at -3.19 eV/atom.

[7]
Ac2HoAs3Rh4 | GGA-PBE | optimized geometry

abc: 4.253 4.253 11.455
angles: 90.00 90.00 90.00
Positions (direct):
Ac: 0.000 0.500 0.232
Ac: 0.500 0.000 0.768
Ho: 0.000 0.000 0.500
As: 0.000 0.500 0.876
As: 0.500 0.000 0.124
As: 0.500 0.500 0.500
Rh: 0.000 0.000 0.000
Rh: 0.000 0.500 0.656
Rh: 0.500 0.000 0.344
Rh: 0.500 0.500 0.000

Summary:
As for the symmetry: P-4m2. The calculation puts the total energy at -6.56 eV/atom.

[8]
BeFeCBr2 | GGA-PBE | optimized geometry

abc: 5.061 5.061 3.386
angles: 90.00 90.00 90.00
Positions (direct):
Be: 0.000 0.000 0.000
Fe: 0.500 0.500 0.500
C: 0.000 0.000 0.500
Br: 0.000 0.500 0.000
Br: 0.500 0.000 0.000

Summary:
As for the symmetry: P4/mmm. The calculation puts the total energy at -3.91 eV/atom.

[9]
CaPrCdPt | GGA-PBE | optimized geometry

abc: 5.214 5.214 5.214
angles: 60.00 60.00 60.00
Positions (direct):
Ca: 0.000 0.000 0.000
Pr: 0.500 0.500 0.500
Cd: 0.750 0.750 0.750
Pt: 0.250 0.250 0.250

Summary:
As for the symmetry: F-43m. The calculation puts the total energy at -4.07 eV/atom.

[10]
BaSr2RuO6 | GGA-PBE | optimized geometry

abc: 5.862 6.382 10.357
angles: 90.00 123.79 90.00
Positions (direct):
Ba: 0.000 0.000 0.000
Ba: 0.000 0.500 0.500
Sr: 0.219 0.046 0.730
Sr: 0.219 0.454 0.230
Sr: 0.781 0.546 0.770
Sr: 0.781 0.954 0.270
Ru: 0.500 0.000 0.500
Ru: 0.500 0.500 0.000
O: 0.188 0.156 0.468
O: 0.188 0.344 0.968
O: 0.261 0.749 0.910
O: 0.261 0.751 0.410
O: 0.406 0.084 0.293
O: 0.406 0.416 0.793
O: 0.594 0.584 0.207
O: 0.594 0.916 0.707
O: 0.739 0.249 0.590
O: 0.739 0.251 0.090
O: 0.812 0.656 0.032
O: 0.812 0.844 0.532

Summary:
As for the symmetry: P2_1/c. The calculation puts the total energy at -6.45 eV/atom.

[11]
Ti2BeRh | GGA-PBE | optimized geometry

abc: 3.081 3.081 5.868
angles: 90.00 90.00 90.00
Positions (direct):
Ti: 0.000 0.000 0.237
Ti: 0.000 0.000 0.763
Be: 0.500 0.500 0.000
Rh: 0.500 0.500 0.500

Summary:
As for the symmetry: P4/mmm. The calculation puts the total energy at -7.16 eV/atom.

[12]
CrIr2Br | GGA-PBE | optimized geometry

abc: 2.934 3.646 7.128
angles: 90.00 90.00 90.00
Positions (direct):
Cr: 0.000 0.000 0.000
Ir: 0.000 0.000 0.367
Ir: 0.500 0.500 0.222
Br: 0.500 0.500 0.769

Summary:
The calculation puts the excess energy over the best structure of this formula in the dataset at 163 meV/atom. As for the symmetry: Pmm2. The calculation puts the total energy at -6.68 eV/atom.

[13]
Zr2ReHg | GGA-PBE | optimized geometry

abc: 3.041 3.041 9.266
angles: 90.00 90.00 109.88
Positions (direct):
Zr: 0.000 0.000 0.225
Zr: 0.000 0.000 0.775
Re: 0.500 0.500 0.000
Hg: 0.500 0.500 0.500

Summary:
As for the symmetry: Cmmm. The calculation puts the total energy at -7.53 eV/atom.

[14]
Zr2ZnHgOs | GGA-PBE | optimized geometry

abc: 5.216 5.216 4.546
angles: 90.00 90.00 90.00
Positions (direct):
Zr: 0.000 0.500 0.000
Zr: 0.500 0.000 0.000
Zn: 0.000 0.000 0.500
Hg: 0.000 0.000 0.000
Os: 0.500 0.500 0.500

Summary:
As for the symmetry: P4/mmm. The calculation puts the total energy at -4.51 eV/atom.

[15]
MgAlNi2 | GGA-PBE | optimized geometry

abc: 2.917 2.903 6.197
angles: 90.00 90.10 90.00
Positions (direct):
Mg: 0.000 0.000 0.000
Al: 0.000 0.000 0.500
Ni: 0.500 0.500 0.277
Ni: 0.500 0.500 0.723

Summary:
As for the symmetry: P2/m. The calculation puts the total energy at -4.66 eV/atom.

[16]
Pm5PuBi6 | GGA-PBE | optimized geometry

abc: 7.922 7.922 7.921
angles: 99.60 99.60 119.97
Positions (direct):
Pm: 0.000 0.000 0.000
Pm: 0.166 0.834 0.500
Pm: 0.332 0.668 0.000
Pm: 0.668 0.332 0.000
Pm: 0.834 0.166 0.500
Pu: 0.500 0.500 0.500
Bi: 0.086 0.417 0.251
Bi: 0.252 0.252 0.749
Bi: 0.417 0.086 0.251
Bi: 0.583 0.914 0.749
Bi: 0.748 0.748 0.251
Bi: 0.914 0.583 0.749

Summary:
As for the symmetry: C2/m. The calculation puts the total energy at -5.95 eV/atom.

[17]
MgTe8 | GGA-PBE | optimized geometry

abc: 7.533 7.533 7.533
angles: 106.64 106.64 115.30
Positions (direct):
Mg: 0.000 0.000 0.000
Te: 0.000 0.315 0.315
Te: 0.000 0.685 0.685
Te: 0.315 0.000 0.315
Te: 0.330 0.330 0.661
Te: 0.330 0.670 0.000
Te: 0.670 0.330 0.000
Te: 0.670 0.670 0.339
Te: 0.685 0.000 0.685

Summary:
As for the symmetry: I4/mmm. The calculation puts the total energy at -2.88 eV/atom.

[18]
LiScCdHg4 | GGA-PBE | optimized geometry

abc: 10.465 10.465 6.209
angles: 90.00 90.00 148.32
Positions (direct):
Li: 0.070 0.930 0.750
Li: 0.930 0.070 0.250
Sc: 0.362 0.638 0.750
Sc: 0.638 0.362 0.250
Cd: 0.358 0.642 0.250
Cd: 0.642 0.358 0.750
Hg: 0.000 0.500 0.000
Hg: 0.000 0.500 0.500
Hg: 0.086 0.914 0.250
Hg: 0.498 0.502 0.250
Hg: 0.500 0.000 0.000
Hg: 0.500 0.000 0.500
Hg: 0.502 0.498 0.750
Hg: 0.914 0.086 0.750

Summary:
As for the symmetry: Cmcm. The calculation puts the total energy at -1.55 eV/atom.

[19]
CdB | GGA-PBE | optimized geometry

abc: 3.158 4.028 6.376
angles: 104.09 103.57 90.25
Positions (direct):
Cd: 0.000 0.000 0.000
Cd: 0.305 0.791 0.595
B: 0.444 0.212 0.385
B: 0.951 0.213 0.387

Summary:
The calculation puts the excess energy over the best structure of this formula in the dataset at 16 meV/atom. As for the symmetry: P1. The calculation puts the total energy at -3.42 eV/atom.

[20]
ZnInMo2 | GGA-PBE | optimized geometry

abc: 2.782 2.782 8.635
angles: 90.00 90.00 90.00
Positions (direct):
Zn: 0.000 0.000 0.000
In: 0.000 0.000 0.500
Mo: 0.500 0.500 0.235
Mo: 0.500 0.500 0.765

Summary:
The calculation puts the excess energy over the best structure of this formula in the dataset at 215 meV/atom. As for the symmetry: P4/mmm. The calculation puts the total energy at -6.05 eV/atom.

[21]
TbNd4Zn4 | GGA-PBE | optimized geometry

abc: 7.401 7.401 7.401
angles: 96.84 96.84 139.62
Positions (direct):
Tb: 0.000 0.000 0.000
Nd: 0.116 0.657 0.773
Nd: 0.343 0.116 0.459
Nd: 0.657 0.884 0.541
Nd: 0.884 0.343 0.227
Zn: 0.327 0.429 0.756
Zn: 0.429 0.673 0.102
Zn: 0.571 0.327 0.898
Zn: 0.673 0.571 0.244

Summary:
As for the symmetry: I4/m. The calculation puts the total energy at -3.34 eV/atom.

[22]
Ce2NiRh3 | GGA-PBE | optimized geometry

abc: 5.163 5.163 5.163
angles: 63.41 63.41 63.41
Positions (direct):
Ce: 0.126 0.126 0.126
Ce: 0.874 0.874 0.874
Ni: 0.500 0.500 0.500
Rh: 0.000 0.500 0.500
Rh: 0.500 0.000 0.500
Rh: 0.500 0.500 0.000

Summary:
As for the symmetry: R-3m. The calculation puts the total energy at -7.29 eV/atom.